Entry 1:
AcMg2ZnHg4: relaxed, PBE.

POSCAR file:
```
AcMg2ZnHg4
1.0
-0.981 -0.135 4.716
-1.374 -4.135 2.058
8.528 -3.583 4.134
Ac Mg Hg Zn
1 2 4 1
direct
0.000 0.000 0.000
0.764 0.764 0.707
0.236 0.236 0.293
0.128 0.128 0.615
0.397 0.397 0.810
0.603 0.603 0.190
0.872 0.872 0.385
0.500 0.500 0.500
```

Computed properties:
**Energy of formation from the pure elements**: -258 meV/atom
**VASP energy**: -1.480 eV per atom
**Density**: 9.69 g cm⁻³
**Fermi-level density of states**: 0.411 states/eV/atom



Entry 2:
SrGe4Pt6: relaxed, PBE.

POSCAR file:
```
SrGe4Pt6
1.0
-6.298 -1.711 -1.065
2.817 -2.131 5.590
1.253 6.389 1.156
Pt Ge Sr
6 4 1
direct
0.000 0.776 0.465
0.689 0.224 0.224
0.500 0.500 0.000
0.500 0.000 0.500
0.311 0.535 0.535
0.000 0.465 0.776
0.000 0.136 0.539
0.597 0.461 0.461
0.403 0.864 0.864
0.000 0.539 0.136
0.000 0.000 0.000
```

Computed properties:
**Energy of formation from the pure elements**: -520 meV/atom
**VASP energy**: -5.647 eV per atom
**Density**: 12.13 g cm⁻³
**Fermi-level density of states**: 0.400 states/eV/atom



Entry 3:
Sr2SbPb: relaxed, PBE.

POSCAR file:
```
Sr2SbPb
1.0
9.042 0.000 0.000
0.000 9.042 0.000
4.521 4.521 3.666
Sr Pb Sb
4 2 2
direct
0.609 0.125 0.250
0.875 0.859 0.750
0.375 0.391 0.750
0.141 0.625 0.250
0.000 0.000 0.000
0.750 0.250 0.500
0.500 0.500 0.000
0.250 0.750 0.500
```

Computed properties:
**VASP energy**: -3.249 eV per atom
**Density**: 5.59 g cm⁻³
**Raw formation energy**: -0.450 eV/atom
**Fermi-level density of states**: 0.647 states/eV/atom
**Energy above the lowest structure with this stoichiometry**: 242 meV/atom



Entry 4:
Y8Tc: relaxed, PBE.

POSCAR file:
```
Y8Tc
1.0
-4.130 -6.207 1.939
1.335 7.347 1.891
-3.931 1.562 -6.438
Y Tc
8 1
direct
0.654 0.654 0.308
0.000 0.320 0.320
0.320 0.000 0.320
0.654 0.346 0.000
0.000 0.680 0.680
0.346 0.654 0.000
0.346 0.346 0.692
0.680 0.000 0.680
0.000 0.000 0.000
```

Computed properties:
**Energy of formation from the pure elements**: 151 meV/atom
**VASP energy**: -6.747 eV per atom
**Density**: 5.16 g cm⁻³
**Fermi-level density of states**: 1.271 states/eV/atom



Entry 5:
KPu4S6: relaxed, PBE.

POSCAR file:
```
KPu4S6
1.0
-0.992 2.993 -2.479
-5.204 -4.601 -0.227
-9.374 9.832 15.621
Pu S K
8 12 2
direct
0.865 0.730 0.957
0.135 0.270 0.043
0.402 0.804 0.370
0.598 0.196 0.870
0.135 0.270 0.457
0.598 0.196 0.630
0.865 0.730 0.543
0.402 0.804 0.130
0.771 0.543 0.080
0.771 0.543 0.420
0.229 0.457 0.580
0.229 0.457 0.920
0.967 0.934 0.847
0.500 0.000 0.000
0.967 0.934 0.653
0.033 0.066 0.153
0.033 0.066 0.347
0.500 0.000 0.500
0.662 0.324 0.750
0.338 0.676 0.250
0.343 0.686 0.750
0.657 0.314 0.250
```

Computed properties:
**VASP energy**: -9.210 eV per atom
**Density**: 7.26 g cm⁻³
**Raw formation energy**: -1.647 eV/atom
**Fermi-level density of states**: 3.182 states/eV/atom



Entry 6:
Tb2Tl3In3: relaxed, PBE.

POSCAR file:
```
Tb2Tl3In3
1.0
4.752 0.000 0.000
0.000 4.707 0.000
0.000 0.000 9.370
In Tl Tb
3 3 2
direct
0.500 0.500 0.754
0.500 0.000 0.000
0.500 0.500 0.246
0.000 0.500 0.000
0.500 0.000 0.500
0.000 0.500 0.500
0.000 0.000 0.248
0.000 0.000 0.752
```

Computed properties:
**Energy of formation from the pure elements**: -329 meV/atom
**VASP energy**: -3.401 eV per atom
**Density**: 10.10 g cm⁻³
**Fermi-level density of states**: 0.457 states/eV/atom



Entry 7:
ZrZnRu: relaxed, PBE.

POSCAR file:
```
ZrZnRu
1.0
4.415 0.000 0.000
-2.208 3.824 0.000
0.000 0.000 3.019
Zr Ru Zn
1 1 1
direct
0.333 0.667 0.710
0.000 0.000 0.045
0.667 0.333 0.245
```

Computed properties:
**Energy of formation from the pure elements**: -238 meV/atom
**VASP energy**: -6.604 eV per atom
**Density**: 8.39 g cm⁻³
**Fermi-level density of states**: 0.730 states/eV/atom



Entry 8:
PrYIrPt: relaxed, PBE.

POSCAR file:
```
PrYIrPt
1.0
5.005 0.000 0.000
2.503 4.335 0.000
2.503 1.445 4.087
Pt Y Pr Ir
1 1 1 1
direct
0.750 0.750 0.750
0.000 0.000 0.000
0.500 0.500 0.500
0.250 0.250 0.250
```

Computed properties:
**Energy of formation from the pure elements**: -861 meV/atom
**VASP energy**: -7.398 eV per atom
**Density**: 11.56 g cm⁻³
**Fermi-level density of states**: 0.515 states/eV/atom



Entry 9:
PPdWS2: relaxed, PBE.

POSCAR file:
```
PPdWS2
1.0
4.545 0.000 0.000
0.000 4.545 0.000
0.000 0.000 4.552
P W Pd S
1 1 1 2
direct
0.000 0.000 0.500
0.500 0.500 0.500
0.000 0.000 0.000
0.000 0.500 0.000
0.500 0.000 0.000
```

Computed properties:
**VASP energy**: -5.000 eV per atom
**Density**: 6.81 g cm⁻³
**Raw formation energy**: 1.362 eV/atom
**Fermi-level density of states**: 1.440 states/eV/atom
**Energy above the lowest structure with this stoichiometry**: 883 meV/atom



Entry 10:
Ir3PdS: relaxed, PBE.

POSCAR file:
```
Ir3PdS
1.0
4.778 0.000 0.000
0.000 4.778 0.000
0.000 0.000 4.778
S Ir Pd
1 3 1
direct
0.500 0.500 0.500
0.500 0.000 0.000
0.000 0.500 0.000
0.000 0.000 0.500
0.000 0.000 0.000
```

Computed properties:
**VASP energy**: -4.753 eV per atom
**Density**: 10.89 g cm⁻³
**Raw formation energy**: 2.427 eV/atom
**Fermi-level density of states**: 1.598 states/eV/atom
**Energy above the lowest structure with this stoichiometry**: 1592 meV/atom



Entry 11:
KNa2NbW: relaxed, PBE.

POSCAR file:
```
KNa2NbW
1.0
5.916 0.000 0.000
0.000 6.420 0.000
0.000 0.000 5.916
Na W Nb K
2 1 1 1
direct
0.000 0.000 0.500
0.500 0.000 0.000
0.000 0.000 0.000
0.500 0.500 0.500
0.000 0.500 0.000
```

Computed properties:
**Energy of formation from the pure elements**: 2404 meV/atom
**VASP energy**: -2.948 eV per atom
**Density**: 2.67 g cm⁻³
**Fermi-level density of states**: 0.678 states/eV/atom



Entry 12:
Li2TbTmHg4: relaxed, PBE.

POSCAR file:
```
Li2TbTmHg4
1.0
5.007 0.000 0.000
2.503 4.336 0.000
2.503 1.445 8.181
Hg Li Tb Tm
4 2 1 1
direct
0.126 0.126 0.621
0.874 0.874 0.379
0.624 0.624 0.129
0.376 0.376 0.871
0.249 0.249 0.252
0.751 0.751 0.748
0.000 0.000 0.000
0.500 0.500 0.500
```

Computed properties:
**Energy of formation from the pure elements**: -433 meV/atom
**VASP energy**: -2.200 eV per atom
**Density**: 10.70 g cm⁻³
**Fermi-level density of states**: 0.726 states/eV/atom



Entry 13:
Mo3Pt: relaxed, PBE.

POSCAR file:
```
Mo3Pt
1.0
-2.135 3.389 2.904
-3.063 -3.803 -0.792
1.001 -1.267 2.215
Mo Pt
3 1
direct
0.500 0.000 0.500
0.000 0.500 0.500
0.000 0.000 0.000
0.500 0.500 0.000
```

Computed properties:
**Energy of formation from the pure elements**: -33 meV/atom
**VASP energy**: -9.667 eV per atom
**Density**: 12.78 g cm⁻³
**Fermi-level density of states**: 0.721 states/eV/atom
**Energy above the lowest structure with this stoichiometry**: 93 meV/atom



Entry 14:
PmAl12Rh4: relaxed, PBE.

POSCAR file:
```
PmAl12Rh4
1.0
7.565 0.000 0.000
-2.522 7.133 0.000
-2.522 -3.566 6.177
Rh Al Pm
4 12 1
direct
0.000 0.500 0.000
0.500 0.500 0.500
0.500 0.000 0.000
0.000 0.000 0.500
0.336 0.168 0.832
0.664 0.832 0.168
0.168 0.832 0.336
0.168 0.336 0.504
0.664 0.496 0.832
0.336 0.504 0.168
0.504 0.168 0.336
0.168 0.664 0.832
0.832 0.336 0.168
0.832 0.168 0.664
0.832 0.664 0.496
0.496 0.832 0.664
0.000 0.000 0.000
```

Computed properties:
**Energy of formation from the pure elements**: -243 meV/atom
**VASP energy**: -4.894 eV per atom
**Density**: 4.39 g cm⁻³
**Fermi-level density of states**: 0.329 states/eV/atom



Entry 15:
Sc2SeCl3: relaxed, PBE.

POSCAR file:
```
Sc2SeCl3
1.0
3.775 0.000 0.000
1.888 8.255 -0.603
1.888 1.509 9.551
Sc Cl Se
4 6 2
direct
0.131 0.577 0.161
0.869 0.423 0.839
0.390 0.778 0.442
0.610 0.222 0.558
0.329 0.320 0.021
0.237 0.125 0.401
0.948 0.854 0.250
0.671 0.680 0.979
0.052 0.146 0.750
0.763 0.875 0.599
0.405 0.524 0.667
0.595 0.476 0.333
```

Computed properties:
**VASP energy**: -5.454 eV per atom
**Density**: 3.04 g cm⁻³
**Raw formation energy**: -1.840 eV/atom
**Fermi-level density of states**: 0.535 states/eV/atom



Entry 16:
AcNiH2: relaxed, PBE.

POSCAR file:
```
AcNiH2
1.0
4.171 0.000 0.000
2.086 3.613 0.000
2.086 1.204 3.755
Ac H Ni
1 2 1
direct
0.000 0.000 0.000
0.768 0.768 0.695
0.232 0.232 0.305
0.500 0.500 0.500
```

Computed properties:
**VASP energy**: -4.238 eV per atom
**Density**: 8.44 g cm⁻³
**Fermi-level density of states**: 0.477 states/eV/atom



Entry 17:
CuTeMo2: relaxed, PBE.

POSCAR file:
```
CuTeMo2
1.0
4.353 0.000 0.000
0.000 3.004 0.004
0.000 1.035 5.185
Mo Te Cu
2 1 1
direct
0.000 0.039 0.980
0.000 0.461 0.520
0.500 0.250 0.250
0.500 0.750 0.750
```

Computed properties:
**VASP energy**: -6.668 eV per atom
**Density**: 9.38 g cm⁻³
**Raw formation energy**: 0.557 eV/atom
**Fermi-level density of states**: 0.785 states/eV/atom



Entry 18:
LaPr3Te6: relaxed, PBE.

POSCAR file:
```
LaPr3Te6
1.0
-0.529 3.929 -2.218
-12.645 -2.182 -0.850
2.525 6.647 11.171
Pr Te La
6 12 2
direct
0.750 0.156 0.081
0.250 0.318 0.499
0.750 0.432 0.832
0.750 0.682 0.501
0.250 0.568 0.168
0.250 0.844 0.919
0.750 0.809 0.749
0.250 0.191 0.251
0.250 0.252 0.721
0.250 0.606 0.939
0.250 0.086 0.899
0.250 0.887 0.534
0.250 0.514 0.382
0.750 0.914 0.101
0.750 0.748 0.279
0.750 0.394 0.061
0.750 0.113 0.466
0.750 0.486 0.618
0.750 0.045 0.693
0.250 0.955 0.307
```

Computed properties:
**VASP energy**: -5.284 eV per atom
**Density**: 6.03 g cm⁻³
**Raw formation energy**: -1.472 eV/atom
**Energy above the lowest structure with this stoichiometry**: 0 meV/atom



Entry 19:
La2Sn2P: relaxed, PBE.

POSCAR file:
```
La2Sn2P
1.0
7.955 0.000 0.000
0.000 7.955 0.000
0.000 0.000 4.977
La Sn P
4 4 2
direct
0.322 0.822 0.000
0.822 0.678 0.000
0.178 0.322 0.000
0.678 0.178 0.000
0.627 0.873 0.500
0.127 0.627 0.500
0.873 0.373 0.500
0.373 0.127 0.500
0.000 0.000 0.000
0.500 0.500 0.000
```

Computed properties:
**Energy of formation from the pure elements**: -687 meV/atom
**VASP energy**: -5.341 eV per atom
**Density**: 5.76 g cm⁻³
**Fermi-level density of states**: 0.839 states/eV/atom



Entry 20:
Rb2NbHgTe4: relaxed, PBE.

POSCAR file:
```
Rb2NbHgTe4
1.0
-0.376 1.618 7.096
1.025 -6.080 5.183
12.664 3.110 3.704
Te Rb Hg Nb
8 4 2 2
direct
0.515 0.295 0.617
0.560 0.205 0.117
0.190 0.295 0.383
0.868 0.705 0.617
0.235 0.205 0.883
0.323 0.795 0.117
0.882 0.795 0.883
0.427 0.705 0.383
0.183 0.000 0.635
0.567 0.500 0.865
0.933 0.500 0.135
0.817 0.000 0.365
0.000 0.000 0.000
0.750 0.500 0.500
0.500 0.000 0.000
0.250 0.500 0.500
```

Computed properties:
**VASP energy**: -3.644 eV per atom
**Density**: 4.74 g cm⁻³
**Raw formation energy**: -0.535 eV/atom
**Fermi-level density of states**: 0.359 states/eV/atom